PBE+U Li4MnOF5, relaxed; crystal system = monoclinic; size of the total moment = 12.000 Bohr magnetons per cell; total DFT energy (no corrections) = -5.283 eV/atom
1.0
2.816 -5.328 0.000
2.816 5.328 0.000
-0.087 0.000 12.751
Li Mn O F
12 3 3 15
Direct
0.000 0.000 0.000 Li
0.003 0.003 0.628 Li
0.013 0.689 0.174 Li
0.014 0.014 0.326 Li
0.016 0.661 0.479 Li
0.330 0.658 0.008 Li
0.337 0.659 0.316 Li
0.367 0.367 0.478 Li
0.658 0.330 0.008 Li
0.659 0.337 0.316 Li
0.661 0.016 0.479 Li
0.689 0.013 0.174 Li
0.015 0.680 0.810 Mn
0.352 0.352 0.811 Mn
0.680 0.015 0.810 Mn
0.306 0.639 0.821 O
0.639 0.306 0.821 O
0.971 0.971 0.824 O
0.002 0.002 0.485 F
0.011 0.672 0.965 F
0.017 0.690 0.321 F
0.025 0.712 0.665 F
0.330 0.330 0.665 F
0.335 0.723 0.148 F
0.336 0.668 0.475 F
0.347 0.347 0.323 F
0.349 0.349 0.967 F
0.668 0.336 0.475 F
0.672 0.011 0.965 F
0.690 0.017 0.321 F
0.712 0.025 0.665 F
0.723 0.335 0.148 F
0.946 0.946 0.140 F